MnCu2SnHg: relaxed, PBE.

## Properties
Calculated formation energy in meV/atom: 774
Total DFT energy (no corrections) in eV per atom: -3.56

abc: 4.682 5.076 4.682
angles: 90.00 90.00 90.00
Last column: magnetic moment on the atom in μB.
Atoms (fractional coordinates):
Mn1 0.000 0.000 0.000  3.55
Hg1 0.000 0.500 0.000  0.00
Cu1 0.000 0.000 0.500  0.17
Cu2 0.500 0.000 0.000  0.09
Sn1 0.500 0.500 0.500  -0.05

=====

PmPrSnSe: relaxed, PBE.

## Properties
Total DFT energy (no corrections) in eV per atom: -5.56

abc: 4.390 4.391 6.232
angles: 90.00 90.00 90.00
Atoms (fractional coordinates):
Pm1 0.500 0.391 0.092
Pr1 0.000 0.892 0.592
Sn1 0.000 0.891 0.092
Se1 0.500 0.392 0.592